[1]
DFT (PBE) results for an optimized crystal structure of NaLi2PuBr6.

Results
The space group is R3, No. 146. For the uncorrected formation energy, the calculation gives -1.51 eV/atom.

POSCAR file:
```
NaLi2PuBr6
1.0
3.566 2.059 6.593
-3.566 2.059 6.593
0.000 -4.117 6.593
Na Li Pu Br
1 2 1 6
Direct
0.000 0.000 0.000
0.300 0.300 0.300
0.804 0.804 0.804
0.491 0.491 0.491
0.072 0.684 0.433
0.206 0.572 0.911
0.433 0.072 0.684
0.572 0.911 0.206
0.684 0.433 0.072
0.911 0.206 0.572
```


[2]
DFT (PBE) results for an optimized crystal structure of NaLiPu2Br8.

Results
The space group is P2/m, No. 10. For the uncorrected formation energy, the calculation gives -1.50 eV/atom.

POSCAR file:
```
NaLiPu2Br8
1.0
6.798 0.000 0.000
0.000 8.637 0.000
-0.672 0.000 6.985
Na Li Pu Br
1 1 2 8
Direct
0.000 0.000 0.000
0.000 0.500 0.000
0.500 0.254 0.500
0.500 0.746 0.500
0.219 0.266 0.173
0.219 0.734 0.173
0.282 0.500 0.664
0.286 0.000 0.660
0.714 0.000 0.340
0.718 0.500 0.336
0.781 0.266 0.827
0.781 0.734 0.827
```


[3]
DFT (PBE) results for an optimized crystal structure of Na2LiPuBr6.

Results
The space group is R3, No. 146. For the uncorrected formation energy, the calculation gives -1.52 eV/atom.

POSCAR file:
```
Na2LiPuBr6
1.0
3.663 2.115 6.642
-3.663 2.115 6.642
0.000 -4.230 6.642
Na Li Pu Br
2 1 1 6
Direct
0.000 0.000 0.000
0.496 0.496 0.496
0.200 0.200 0.200
0.693 0.693 0.693
0.074 0.425 0.818
0.307 0.924 0.574
0.425 0.818 0.074
0.574 0.307 0.924
0.818 0.074 0.425
0.924 0.574 0.307
```


[4]
DFT (PBE) results for an optimized crystal structure of NaLi2PuBr8.

Results
The space group is P-1, No. 2. For the uncorrected formation energy, the calculation gives -1.26 eV/atom.

POSCAR file:
```
NaLi2PuBr8
1.0
6.820 0.000 0.000
1.563 7.224 0.000
0.176 2.968 8.405
Na Li Pu Br
1 2 1 8
Direct
0.000 0.000 0.000
0.472 0.356 0.166
0.528 0.644 0.834
0.000 0.000 0.500
0.135 0.217 0.220
0.156 0.191 0.660
0.347 0.725 0.555
0.377 0.722 0.066
0.623 0.278 0.934
0.653 0.275 0.445
0.844 0.809 0.340
0.865 0.783 0.780
```


[5]
DFT (PBE) results for an optimized crystal structure of Rb2NaLiBr4.

Results
The space group is C2/c, No. 15. For the uncorrected formation energy, the calculation gives -1.59 eV/atom.

POSCAR file:
```
Rb2NaLiBr4
1.0
6.411 -6.385 0.000
6.411 6.385 0.000
-6.375 0.000 6.424
Rb Na Li Br
4 2 2 8
Direct
0.000 0.000 0.000
0.000 0.000 0.500
0.000 0.500 0.000
0.500 0.000 0.500
0.000 0.500 0.500
0.500 0.000 0.000
0.500 0.500 0.000
0.500 0.500 0.500
0.271 0.729 0.524
0.271 0.729 0.976
0.273 0.296 0.533
0.296 0.273 0.033
0.704 0.727 0.967
0.727 0.704 0.467
0.729 0.271 0.024
0.729 0.271 0.476
```


[6]
DFT (PBE) results for an optimized crystal structure of RbNa2LiBr4.

Results
The space group is Cmcm, No. 63. For the uncorrected formation energy, the calculation gives -1.59 eV/atom.

POSCAR file:
```
RbNa2LiBr4
1.0
2.181 -7.451 0.000
2.181 7.451 0.000
0.000 0.000 14.965
Rb Na Li Br
2 4 2 8
Direct
0.114 0.886 0.750
0.886 0.114 0.250
0.371 0.629 0.548
0.371 0.629 0.952
0.629 0.371 0.048
0.629 0.371 0.452
0.158 0.842 0.250
0.842 0.158 0.750
0.000 0.000 0.000
0.000 0.000 0.500
0.258 0.742 0.116
0.258 0.742 0.384
0.432 0.568 0.750
0.568 0.432 0.250
0.742 0.258 0.616
0.742 0.258 0.884
```


Which formula does entry 5 have?
Rb2NaLiBr4